a:
This record from the Alexandria database describes crystalline Tb2Dy2Tm5 at its relaxed geometry. The functional is PBE-GGA.

Geometry as POSCAR:
```
Tb2Dy2Tm5
1.0
-7.3791 5.7845 3.3266
7.3791 -5.7845 3.3266
7.3791 5.7845 -3.3266
Tb Dy Tm
4 4 10
direct
0.0078 0.1275 0.1353
0.0078 0.3725 0.3802
0.9922 0.6275 0.6198
0.9922 0.8725 0.8647
0.4458 0.4458 0.0000
0.4458 0.9458 0.5000
0.5384 0.8032 0.2352
0.5680 0.3032 0.7648
0.0938 0.4751 0.9033
0.0938 0.6904 0.1187
0.1020 0.0957 0.5063
0.4103 0.2049 0.3121
0.4103 0.5982 0.7054
0.5717 0.1904 0.0967
0.5717 0.9751 0.8813
0.5894 0.5957 0.4937
0.8928 0.0982 0.6879
0.8928 0.7049 0.2946
```

Output
* density of states at the Fermi level: 31.0 states/eV/cell
* crystal system: orthorhombic
* ρ: 8.7 g cm⁻³
* space group: Ima2 (46)

---

b:
This record from the Alexandria database describes crystalline Tb2Dy2Tm5 at its relaxed geometry. The functional is PBE-GGA.

Geometry as POSCAR:
```
Tb2Dy2Tm5
1.0
3.5023 0.0000 0.0000
1.7429 7.6636 0.0000
0.0018 2.3966 10.2385
Tb Dy Tm
2 2 5
direct
0.1663 0.1669 0.3887
0.8337 0.8331 0.6113
0.5003 0.4989 0.8336
0.4997 0.5011 0.1664
0.1665 0.1658 0.0551
0.1676 0.1663 0.7231
0.5000 0.5000 0.5000
0.8324 0.8337 0.2769
0.8335 0.8342 0.9449
```

Output
* density of states at the Fermi level: 11.6 states/eV/cell
* crystal system: triclinic
* ρ: 9.0 g cm⁻³
* space group: P-1 (2)

---

Stability ranking, top and bottom: b is the most stable and a is the least stable.

---

a:
This record from the Alexandria database describes crystalline TbDy5Tm5 at its relaxed geometry. The functional is PBE-GGA.

Geometry as POSCAR:
```
TbDy5Tm5
1.0
6.7691 0.0000 0.0000
2.0600 6.5761 0.0000
1.8751 1.4725 7.8675
Tb Dy Tm
1 5 5
direct
0.0000 0.0000 0.0000
0.0000 0.5000 0.0000
0.1573 0.6312 0.3582
0.3252 0.7664 0.6552
0.6748 0.2336 0.3448
0.8427 0.3688 0.6418
0.2087 0.1378 0.3160
0.3530 0.2488 0.7186
0.5000 0.5000 0.0000
0.6470 0.7512 0.2814
0.7913 0.8622 0.6840
```

Output
* density of states at the Fermi level: 16.0 states/eV/cell
* crystal system: triclinic
* ρ: 8.6 g cm⁻³
* space group: P-1 (2)

---

b:
This record from the Alexandria database describes crystalline TbDy5Tm5 at its relaxed geometry. The functional is PBE-GGA.

Geometry as POSCAR:
```
TbDy5Tm5
1.0
9.3326 -2.9171 0.0000
9.3326 2.9171 0.0000
-2.5021 0.0000 6.4069
Tb Dy Tm
1 5 5
direct
0.0000 0.0000 0.0000
0.1789 0.1789 0.4251
0.1788 0.1788 0.9337
0.5000 0.5000 0.0000
0.8212 0.8212 0.0663
0.8211 0.8211 0.5749
0.0000 0.0000 0.5000
0.3312 0.3312 0.8297
0.3765 0.3765 0.3747
0.6235 0.6235 0.6253
0.6688 0.6688 0.1703
```

Output
* density of states at the Fermi level: 17.7 states/eV/cell
* crystal system: monoclinic
* ρ: 8.6 g cm⁻³
* space group: C2/m (12)

---

Stability ranking, top and bottom: a is the most stable and b is the least stable.